1.
A geometry-optimized SbWS2Cl structure, computed with PBE-GGA.

Cell: 5.1327 5.1327 4.9747 Å, 90.00 90.00 90.00°
With the nearest neighbours (Å) after each atom.
Positions (direct):
Sb  0.0000  0.0000  0.0000  2 Cl 2.49, 4 S 2.57
W  0.5000  0.5000  0.5000  8 S 3.57, 4 Cl 3.63
S  0.0000  0.5000  0.0000  2 Sb 2.57
S  0.5000  0.0000  0.0000  2 Sb 2.57
Cl  0.0000  0.0000  0.5000  2 Sb 2.49

Computed properties:
Space-group type = P4/mmm
Energy relative to the elements, uncorrected = 28.2 kcal/mol of atoms
Electronic total energy = -4.2146 eV per atom
Magnetic moment = 4.22 μB per formula unit
Excess energy over the best structure of this formula in the dataset = 0.992 eV per atom

2.
A geometry-optimized SbWSCl2 structure, computed with PBE-GGA.

Cell: 4.8698 4.8698 4.7001 Å, 90.00 90.00 90.00°
With the nearest neighbours (Å) after each atom.
Positions (direct):
Sb  0.0000  0.0000  0.0000  8 Cl 3.38, 4 S 3.44
W  0.5000  0.5000  0.5000  2 S 2.35, 4 Cl 2.43
S  0.5000  0.5000  0.0000  2 W 2.35
Cl  0.0000  0.5000  0.5000  2 W 2.43
Cl  0.5000  0.0000  0.5000  2 W 2.43

Computed properties:
Space-group type = P4/mmm
Energy relative to the elements, uncorrected = 7.2 kcal/mol of atoms
Electronic total energy = -4.6691 eV per atom
Magnetic moment = 1.77 μB per formula unit
Excess energy over the best structure of this formula in the dataset = 0.000 eV per atom

3.
A geometry-optimized YSbS2Cl structure, computed with PBE-GGA.

Cell: 5.1622 5.1622 5.0931 Å, 90.00 90.00 90.00°
With the nearest neighbours (Å) after each atom.
Positions (direct):
Y  0.0000  0.0000  0.0000  8 S 3.63, 4 Cl 3.65
Sb  0.5000  0.5000  0.5000  2 Cl 2.55, 4 S 2.58
S  0.0000  0.5000  0.5000  2 Sb 2.58
S  0.5000  0.0000  0.5000  2 Sb 2.58
Cl  0.5000  0.5000  0.0000  2 Sb 2.55

Computed properties:
Space-group type = P4/mmm
Energy relative to the elements, uncorrected = -6.7 kcal/mol of atoms
Electronic total energy = -4.4298 eV per atom
Magnetic moment = 0.80 μB per formula unit
Excess energy over the best structure of this formula in the dataset = 0.387 eV per atom

4.
A geometry-optimized YSbS2Cl structure, computed with PBE-GGA.

Cell: 5.3081 5.3081 5.0488 Å, 90.00 90.00 90.00°
With the nearest neighbours (Å) after each atom.
Positions (direct):
Y  0.0000  0.0000  0.0000  2 Cl 2.52, 4 S 2.65
Sb  0.5000  0.5000  0.5000  8 S 3.66, 4 Cl 3.75
S  0.0000  0.5000  0.0000  2 Y 2.65
S  0.5000  0.0000  0.0000  2 Y 2.65
Cl  0.0000  0.0000  0.5000  2 Y 2.52

Computed properties:
Space-group type = P4/mmm
Energy relative to the elements, uncorrected = -15.7 kcal/mol of atoms
Electronic total energy = -4.8171 eV per atom
Magnetic moment = 0.85 μB per formula unit
Excess energy over the best structure of this formula in the dataset = 0.000 eV per atom

5.
A geometry-optimized ZrSbS2Cl structure, computed with PBE-GGA.

Cell: 5.1805 5.1805 4.9876 Å, 90.00 90.00 90.00°
With the nearest neighbours (Å) after each atom.
Positions (direct):
Zr  0.0000  0.0000  0.0000  8 S 3.60, 4 Cl 3.66
Sb  0.5000  0.5000  0.5000  2 Cl 2.49, 4 S 2.59
S  0.0000  0.5000  0.5000  2 Sb 2.59
S  0.5000  0.0000  0.5000  2 Sb 2.59
Cl  0.5000  0.5000  0.0000  2 Sb 2.49

Computed properties:
Space-group type = P4/mmm
Energy relative to the elements, uncorrected = 6.4 kcal/mol of atoms
Electronic total energy = -4.2762 eV per atom
Magnetic moment = 2.04 μB per formula unit
Excess energy over the best structure of this formula in the dataset = 0.814 eV per atom

6.
A geometry-optimized ZrSb2SCl structure, computed with PBE-GGA.

Cell: 5.6079 5.6079 4.8574 Å, 90.00 90.00 90.00°
With the nearest neighbours (Å) after each atom.
Positions (direct):
Zr  0.0000  0.0000  0.0000  2 Cl 2.43
Sb  0.0000  0.5000  0.0000  2 Zr 2.80
Sb  0.5000  0.0000  0.0000  2 Zr 2.80
S  0.5000  0.5000  0.5000  8 Sb 3.71, 4 Cl 3.97
Cl  0.0000  0.0000  0.5000  2 Zr 2.43

Computed properties:
Space-group type = P4/mmm
Energy relative to the elements, uncorrected = 2.1 kcal/mol of atoms
Electronic total energy = -4.4620 eV per atom
Magnetic moment = 0.00 μB per formula unit